1.
# PBE-GGA MgAlZn14, optimized geometry
data_MgAlZn14
_chemical_formula_sum 'Mg2 Al2 Zn28'
_cell_length_a 9.132
_cell_length_b 5.938
_cell_length_c 9.227
_cell_angle_alpha 90.00
_cell_angle_beta 90.00
_cell_angle_gamma 90.00
_space_group_name_H-M_alt 'A m m 2'
_space_group_IT_number 38
_space_group_name_Hall 'A 2 -2'
loop_
_atom_site_label
_atom_site_fract_x
_atom_site_fract_y
_atom_site_fract_z
Mg1 0.000 0.000 0.000
Al1 0.000 0.000 0.516
Zn1 0.000 0.231 0.260
Zn2 0.249 0.000 0.680
Zn3 0.256 0.245 0.426
Zn4 0.258 0.000 0.175
Zn5 0.500 0.000 0.012
Zn6 0.500 0.000 0.513
Zn7 0.500 0.247 0.762
# Energy relative to the elements   18.4 meV/atom
# Total moment   0.000 μB per cell
# Fermi-level density of states   0.211 states/eV per atom



2.
# PBE-GGA Na4LiCd4, optimized geometry
data_Na4LiCd4
_chemical_formula_sum 'Na8 Li2 Cd8'
_cell_length_a 5.750
_cell_length_b 5.750
_cell_length_c 14.315
_cell_angle_alpha 90.00
_cell_angle_beta 90.00
_cell_angle_gamma 90.00
_space_group_name_H-M_alt 'I -4 2 m'
_space_group_IT_number 121
_space_group_name_Hall 'I -4 2'
loop_
_atom_site_label
_atom_site_fract_x
_atom_site_fract_y
_atom_site_fract_z
Na1 0.193 0.193 0.407
Li1 0.000 0.000 0.000
Cd1 0.189 0.189 0.190
# Energy relative to the elements   15.5 meV/atom
# Total moment   0.000 μB per cell
# Fermi-level density of states   0.544 states/eV per atom



3.
# PBE-GGA SrAl3V, optimized geometry
data_SrAl3V
_chemical_formula_sum 'Sr1 Al3 V1'
_cell_length_a 5.610
_cell_length_b 5.610
_cell_length_c 5.610
_cell_angle_alpha 90.00
_cell_angle_beta 90.00
_cell_angle_gamma 90.00
_space_group_name_H-M_alt 'P m -3 m'
_space_group_IT_number 221
_space_group_name_Hall '-P 4 2 3'
loop_
_atom_site_label
_atom_site_fract_x
_atom_site_fract_y
_atom_site_fract_z
Sr1 0.000 0.000 0.000
Al1 0.000 0.000 0.500
V1 0.500 0.500 0.500
# Distance to the lowest polymorph of the same formula   1.754 eV per atom
# Energy relative to the elements   1836.1 meV/atom
# Total moment   3.645 μB per cell
# Fermi-level density of states   1.940 states/eV per atom



4.
# PBE-GGA Li2CuAuF6, optimized geometry
data_Li2CuAuF6
_chemical_formula_sum 'Li2 Cu1 Au1 F6'
_cell_length_a 5.155
_cell_length_b 5.522
_cell_length_c 5.727
_cell_angle_alpha 114.57
_cell_angle_beta 98.66
_cell_angle_gamma 110.91
_space_group_name_H-M_alt 'P 1'
_space_group_IT_number 1
_space_group_name_Hall 'P 1'
loop_
_atom_site_label
_atom_site_fract_x
_atom_site_fract_y
_atom_site_fract_z
Li1 0.000 0.000 0.000
Li2 0.453 0.928 0.471
Cu1 0.772 0.505 0.382
Au1 0.304 0.527 0.855
F1 0.120 0.755 0.118
F2 0.191 0.707 0.603
F3 0.375 0.353 0.127
F4 0.529 0.332 0.631
F5 0.770 0.132 0.199
F6 0.784 0.881 0.613
# Distance to the lowest polymorph of the same formula   0.000 eV per atom
# Uncorrected formation energy   -42.8 kcal/mol of atoms
# Total moment   2.017 μB per cell
# Fermi-level density of states   0.128 states/eV per atom



5.
# PBE-GGA CaRh3Se, optimized geometry
data_CaRh3Se
_chemical_formula_sum 'Ca1 Rh3 Se1'
_cell_length_a 4.796
_cell_length_b 4.796
_cell_length_c 4.796
_cell_angle_alpha 90.00
_cell_angle_beta 90.00
_cell_angle_gamma 90.00
_space_group_name_H-M_alt 'P m -3 m'
_space_group_IT_number 221
_space_group_name_Hall '-P 4 2 3'
loop_
_atom_site_label
_atom_site_fract_x
_atom_site_fract_y
_atom_site_fract_z
Ca1 0.000 0.000 0.000
Rh1 0.000 0.000 0.500
Se1 0.500 0.500 0.500
# Distance to the lowest polymorph of the same formula   1.623 eV per atom
# Uncorrected formation energy   34.5 kcal/mol of atoms
# Total moment   2.671 μB per cell
# Fermi-level density of states   1.425 states/eV per atom



6.
# PBE-GGA Zn2HgPd6, optimized geometry
data_Zn2HgPd6
_chemical_formula_sum 'Zn4 Hg2 Pd12'
_cell_length_a 8.600
_cell_length_b 4.050
_cell_length_c 8.367
_cell_angle_alpha 90.00
_cell_angle_beta 104.27
_cell_angle_gamma 90.00
_space_group_name_H-M_alt 'C 1 2/m 1'
_space_group_IT_number 12
_space_group_name_Hall '-C 2y'
loop_
_atom_site_label
_atom_site_fract_x
_atom_site_fract_y
_atom_site_fract_z
Zn1 0.184 0.000 0.241
Hg1 0.000 0.500 0.000
Pd1 0.008 0.500 0.333
Pd2 0.163 0.000 0.552
Pd3 0.165 0.000 0.884
# Distance to the lowest polymorph of the same formula   0.000 eV per atom
# Energy relative to the elements   -300.6 meV/atom
# Total moment   0.000 μB per cell
# Fermi-level density of states   0.465 states/eV per atom



7.
# PBE-GGA HoAgRhAu, optimized geometry
data_HoAgRhAu
_chemical_formula_sum 'Ho1 Ag1 Rh1 Au1'
_cell_length_a 4.028
_cell_length_b 4.101
_cell_length_c 4.453
_cell_angle_alpha 90.00
_cell_angle_beta 90.00
_cell_angle_gamma 90.00
_space_group_name_H-M_alt 'P m m m'
_space_group_IT_number 47
_space_group_name_Hall '-P 2 2'
loop_
_atom_site_label
_atom_site_fract_x
_atom_site_fract_y
_atom_site_fract_z
Ho1 0.000 0.000 0.000
Ag1 0.000 0.500 0.500
Rh1 0.500 0.500 0.000
Au1 0.500 0.000 0.500
# Distance to the lowest polymorph of the same formula   0.000 eV per atom
# Energy relative to the elements   -578.4 meV/atom
# Total moment   0.000 μB per cell
# Fermi-level density of states   0.178 states/eV per atom



8.
# PBE-GGA Cs2Na2Tl, optimized geometry
data_Cs2Na2Tl
_chemical_formula_sum 'Cs4 Na4 Tl2'
_cell_length_a 11.737
_cell_length_b 11.737
_cell_length_c 4.276
_cell_angle_alpha 90.00
_cell_angle_beta 90.00
_cell_angle_gamma 90.00
_space_group_name_H-M_alt 'P 4/m b m'
_space_group_IT_number 127
_space_group_name_Hall '-P 4 2ab'
loop_
_atom_site_label
_atom_site_fract_x
_atom_site_fract_y
_atom_site_fract_z
Cs1 0.191 0.309 0.000
Na1 0.104 0.604 0.500
Tl1 0.000 0.000 0.000
# Distance to the lowest polymorph of the same formula   0.188 eV per atom
# Energy relative to the elements   187.5 meV/atom
# Total moment   0.000 μB per cell
# Fermi-level density of states   0.489 states/eV per atom



9.
# PBE-GGA PmDy2Ho, optimized geometry
data_PmDy2Ho
_chemical_formula_sum 'Pm1 Dy2 Ho1'
_cell_length_a 3.562
_cell_length_b 3.562
_cell_length_c 10.091
_cell_angle_alpha 90.00
_cell_angle_beta 90.00
_cell_angle_gamma 90.00
_space_group_name_H-M_alt 'P 4/m m m'
_space_group_IT_number 123
_space_group_name_Hall '-P 4 2'
loop_
_atom_site_label
_atom_site_fract_x
_atom_site_fract_y
_atom_site_fract_z
Pm1 0.000 0.000 0.000
Dy1 0.500 0.500 0.254
Ho1 0.000 0.000 0.500
# Distance to the lowest polymorph of the same formula   0.006 eV per atom
# Energy relative to the elements   20.0 meV/atom
# Total moment   0.000 μB per cell
# Fermi-level density of states   1.277 states/eV per atom



10.
# PBE-GGA Mn2AuI, optimized geometry
data_Mn2AuI
_chemical_formula_sum 'Mn2 Au1 I1'
_cell_length_a 3.491
_cell_length_b 3.492
_cell_length_c 9.020
_cell_angle_alpha 89.86
_cell_angle_beta 79.12
_cell_angle_gamma 60.07
_space_group_name_H-M_alt 'P 1'
_space_group_IT_number 1
_space_group_name_Hall 'P 1'
loop_
_atom_site_label
_atom_site_fract_x
_atom_site_fract_y
_atom_site_fract_z
Mn1 0.000 0.000 0.000
Mn2 0.488 0.260 0.763
Au1 0.947 0.532 0.568
I1 0.191 0.404 0.219
# Distance to the lowest polymorph of the same formula   0.228 eV per atom
# Uncorrected formation energy   11.3 kcal/mol of atoms
# Total moment   8.309 μB per cell
# Fermi-level density of states   0.846 states/eV per atom



11.
# PBE-GGA Ca2Cd5Pd2Rh, optimized geometry
data_Ca2Cd5Pd2Rh
_chemical_formula_sum 'Ca4 Cd10 Pd4 Rh2'
_cell_length_a 10.166
_cell_length_b 10.166
_cell_length_c 4.121
_cell_angle_alpha 90.00
_cell_angle_beta 90.00
_cell_angle_gamma 90.00
_space_group_name_H-M_alt 'P 4/m b m'
_space_group_IT_number 127
_space_group_name_Hall '-P 4 2ab'
loop_
_atom_site_label
_atom_site_fract_x
_atom_site_fract_y
_atom_site_fract_z
Ca1 0.176 0.324 0.000
Cd1 0.000 0.500 0.500
Cd2 0.060 0.806 0.500
Pd1 0.125 0.625 0.000
Rh1 0.000 0.000 0.000
# Energy relative to the elements   -376.2 meV/atom
# Total moment   0.000 μB per cell
# Fermi-level density of states   0.585 states/eV per atom



12.
# PBE-GGA Pm2BeSnO6, optimized geometry
data_Pm2BeSnO6
_chemical_formula_sum 'Pm4 Be2 Sn2 O12'
_cell_length_a 9.536
_cell_length_b 5.352
_cell_length_c 5.456
_cell_angle_alpha 90.00
_cell_angle_beta 121.99
_cell_angle_gamma 90.00
_space_group_name_H-M_alt 'C 1 2/m 1'
_space_group_IT_number 12
_space_group_name_Hall '-C 2y'
loop_
_atom_site_label
_atom_site_fract_x
_atom_site_fract_y
_atom_site_fract_z
Pm1 0.243 0.000 0.222
Be1 0.000 0.500 0.000
Sn1 0.000 0.000 0.500
O1 0.054 0.262 0.822
O2 0.249 0.000 0.653
# Uncorrected formation energy   -59.5 kcal/mol of atoms
# Total moment   0.000 μB per cell
# Fermi-level density of states   0.000 states/eV per atom



Number 12 is which compound? Pm2BeSnO6



Which value of Fermi-level density of states does entry 11 give? 0.585 states/eV per atom